Here is NdMgAs2Rh5 after structural relaxation from Alexandria via LeMat-Bulk. Energies are from PBE.

Unit cell a=4.137 b=4.137 c=10.248 alpha=90.00 beta=90.00 gamma=90.00
Fractional positions:
Rh1 0.500 0.500 0.500
Rh2 0.000 0.500 0.156
As1 0.500 0.500 0.269
Nd1 0.000 0.000 0.500
Rh3 0.000 0.500 0.844
Rh4 0.500 0.000 0.156
Rh5 0.500 0.000 0.844
Mg1 0.000 0.000 0.000
As2 0.500 0.500 0.731

Results
* E_form: -0.3847 eV per atom
* energy: -0.4564 Ry per atom



Here is Mg2NiAs after structural relaxation from Alexandria via LeMat-Bulk. Energies are from PBE.

Unit cell a=4.411 b=4.411 c=5.738 alpha=80.48 beta=80.48 gamma=39.33
Fractional positions:
Mg1 0.996 0.996 0.024
Ni1 0.250 0.250 0.250
Mg2 0.504 0.504 0.476
As1 0.750 0.750 0.750

Results
* E_form: -0.0606 eV per atom
* energy: -0.2547 Ry per atom



Here is Mg3NiAs after structural relaxation from Alexandria via LeMat-Bulk. Energies are from PBE.

Unit cell a=4.734 b=4.734 c=4.734 alpha=90.00 beta=90.00 gamma=90.00
Fractional positions:
As1 0.500 0.500 0.500
Mg1 0.500 0.000 0.000
Mg2 0.000 0.500 0.000
Ni1 0.000 0.000 0.000
Mg3 0.000 0.000 0.500

Results
* E_form: 0.1201 eV per atom
* energy: -0.2148 Ry per atom



Q: Number 1 is which compound?
A: NdMgAs2Rh5